No. 1
Computed, not measured: DyHoNi after structural relaxation at the PBE level of DFT.

abc: 6.644 6.644 6.644
angles: 150.43 150.43 42.31
Atoms (fractional coordinates):
Dy 0.000 0.000 0.000
Ho 0.262 0.262 0.000
Ni 0.633 0.633 0.000

Output
Space-group type = I4mm
Formation energy = -252.0 meV per atom
Energy relative to the lowest polymorph listed for this composition = 61.2 meV/atom

---

No. 2
Computed, not measured: CeSi2Ru4 after structural relaxation at the PBE level of DFT.

abc: 9.513 9.513 9.513
angles: 162.24 154.45 31.29
Atoms (fractional coordinates):
Ce 0.000 0.000 0.000
Si 0.377 0.377 0.000
Si 0.623 0.623 0.000
Ru 0.135 0.135 0.000
Ru 0.269 0.769 0.500
Ru 0.731 0.231 0.500
Ru 0.865 0.865 0.000

Output
Space-group type = Immm
Energy relative to the lowest polymorph listed for this composition = 367.6 meV/atom
Formation energy (no corrections) = -1.59 eV per formula unit

---

No. 3
Computed, not measured: TlPtO3 after structural relaxation at the PBE level of DFT.

abc: 4.189 4.189 4.189
angles: 90.00 90.00 90.00
Atoms (fractional coordinates):
Tl 0.000 0.000 0.000
Pt 0.500 0.500 0.500
O 0.000 0.000 0.500
O 0.000 0.500 0.000
O 0.500 0.000 0.000

Output
Space-group type = Pm-3m
Formation energy (no corrections) = 4.31 eV per formula unit

---

No. 4
Computed, not measured: NdDy2C3 after structural relaxation at the PBE level of DFT.

abc: 7.063 7.063 7.063
angles: 132.21 83.81 115.84
Atoms (fractional coordinates):
Nd 0.292 0.042 0.250
Nd 0.708 0.958 0.750
Dy 0.088 0.667 0.421
Dy 0.255 0.333 0.921
Dy 0.745 0.667 0.079
Dy 0.912 0.333 0.579
C 0.000 0.000 0.500
C 0.000 0.119 0.119
C 0.000 0.500 0.000
C 0.000 0.881 0.881
C 0.500 0.119 0.619
C 0.500 0.881 0.381

Output
Space-group type = Imma
Formation energy = -49.4 meV per atom

---

Number 1: volume 71 Å³ per cell. Number 2: volume 113 Å³ per cell. Number 3: volume 73 Å³ per cell. Number 4: volume 226 Å³ per cell.